# Ba2MnInO6

A relaxed Ba2MnInO6 crystal (PBE with a Hubbard U, the Alexandria database).

Unit cell a=4.162 b=4.162 c=8.355 alpha=90.00 beta=90.00 gamma=90.00
Fractional positions:
Ba1 0.000 0.000 0.243
Ba2 0.000 0.000 0.757
Mn1 0.500 0.500 0.000
In1 0.500 0.500 0.500
O1 0.000 0.500 0.000
O2 0.000 0.500 0.500
O3 0.500 0.000 0.000
O4 0.500 0.000 0.500
O5 0.500 0.500 0.227
O6 0.500 0.500 0.773

Output
VASP energy: -62.28 eV for the cell shown
M_tot: 0.4524 μB/atom
space-group type: No. 123